The following is a GGA-PBE calculation of an optimized crystal structure of CuO2F, from Alexandria.

a = 6.480 Å, b = 6.480 Å, c = 6.480 Å
α = 151.91°, β = 135.52°, γ = 53.43°
Site moments in Bohr magnetons follow the coordinates.
Fractional coordinates of all 8 atoms:
O1 0.818 0.555 0.263  0.37
O2 0.707 0.445 0.263  0.37
O3 0.202 0.942 0.260  0.09
O4 0.318 0.058 0.260  0.09
Cu1 0.949 0.352 0.597  0.06
Cu2 0.246 0.648 0.597  0.06
F1 0.169 0.244 0.924  0.01
F2 0.680 0.756 0.924  0.01

Results
ρ   4.3 g/cm³
Total moment   0.150 μB per atom
Final energy   -4.62 eV/atom
Formation energy from raw total energies   -0.646 eV per atom